# PBE MgCuSe, relaxed
# N(E_F) (states/eV per atom): 0.3114
# Energy relative to the elements, uncorrected (meV/atom): -233
# Crystal system: hexagonal
data_MgCuSe
_chemical_formula_sum 'Mg3 Cu3 Se3'
_cell_length_a 7.1174
_cell_length_b 7.1174
_cell_length_c 4.2992
_cell_angle_alpha 90.00
_cell_angle_beta 90.00
_cell_angle_gamma 120.00
_symmetry_space_group_name_H-M 'P -6 2 m'
_symmetry_Int_Tables_number 189
_symmetry_space_group_name_Hall 'P -6 -2'
loop_
_atom_site_label
_atom_site_fract_x
_atom_site_fract_y
_atom_site_fract_z
_atom_site_occupancy
Mg1 0.0000 0.0000 0.0000 1
Mg2 0.3333 0.6667 0.5000 1
Cu1 0.0000 0.4297 0.0000 1
Se1 0.0000 0.2780 0.5000 1